Entry 1:
DFT (PBE) results for a relaxed Cs3Pa3CdTe8 crystal.

SG: R-3m (166)
Total moment in μB per cell: 3.89
E_form (uncorrected) in eV per atom: -0.85
V in Å³/atom: 42.3

a b c (Å): 10.519 10.519 10.519
angles (deg): 50.31 50.31 50.31
Fractional positions:
Cs 0.000 0.500 0.500
Cs 0.500 0.000 0.500
Cs 0.500 0.500 0.000
Pa 0.000 0.000 0.500
Pa 0.000 0.500 0.000
Pa 0.500 0.000 0.000
Cd 0.500 0.500 0.500
Te 0.224 0.732 0.732
Te 0.231 0.231 0.231
Te 0.268 0.268 0.776
Te 0.268 0.776 0.268
Te 0.732 0.224 0.732
Te 0.732 0.732 0.224
Te 0.769 0.769 0.769
Te 0.776 0.268 0.268

Entry 2:
DFT (PBE) results for a relaxed Cs2PaCdTe4 crystal.

SG: I-42m (121)
Total moment in μB per cell: 2.00
E_form (uncorrected) in eV per atom: -0.77
V in Å³/atom: 42.7

a b c (Å): 9.448 9.448 7.654
angles (deg): 90.00 90.00 90.00
Fractional positions:
Cs 0.000 0.500 0.000
Cs 0.000 0.500 0.500
Cs 0.500 0.000 0.000
Cs 0.500 0.000 0.500
Pa 0.000 0.000 0.000
Pa 0.500 0.500 0.500
Cd 0.000 0.000 0.500
Cd 0.500 0.500 0.000
Te 0.168 0.168 0.254
Te 0.168 0.832 0.746
Te 0.332 0.332 0.754
Te 0.332 0.668 0.246
Te 0.668 0.332 0.246
Te 0.668 0.668 0.754
Te 0.832 0.168 0.746
Te 0.832 0.832 0.254

Entry 3:
DFT (PBE) results for a relaxed CsPaCdTe4 crystal.

SG: P2_1/m (11)
Total moment in μB per cell: 0.27
E_form (uncorrected) in eV per atom: -0.74
V in Å³/atom: 40.4

a b c (Å): 7.289 7.838 9.939
angles (deg): 90.00 95.71 90.00
Fractional positions:
Cs 0.215 0.250 0.039
Cs 0.785 0.750 0.961
Pa 0.180 0.750 0.448
Pa 0.820 0.250 0.552
Cd 0.343 0.250 0.649
Cd 0.657 0.750 0.351
Te 0.083 0.518 0.691
Te 0.083 0.982 0.691
Te 0.332 0.750 0.175
Te 0.458 0.250 0.390
Te 0.542 0.750 0.610
Te 0.668 0.250 0.825
Te 0.917 0.018 0.309
Te 0.917 0.482 0.309

Repeat the first record exactly.
DFT (PBE) results for a relaxed Cs3Pa3CdTe8 crystal.

SG: R-3m (166)
Total moment in μB per cell: 3.89
E_form (uncorrected) in eV per atom: -0.85
V in Å³/atom: 42.3

a b c (Å): 10.519 10.519 10.519
angles (deg): 50.31 50.31 50.31
Fractional positions:
Cs 0.000 0.500 0.500
Cs 0.500 0.000 0.500
Cs 0.500 0.500 0.000
Pa 0.000 0.000 0.500
Pa 0.000 0.500 0.000
Pa 0.500 0.000 0.000
Cd 0.500 0.500 0.500
Te 0.224 0.732 0.732
Te 0.231 0.231 0.231
Te 0.268 0.268 0.776
Te 0.268 0.776 0.268
Te 0.732 0.224 0.732
Te 0.732 0.732 0.224
Te 0.769 0.769 0.769
Te 0.776 0.268 0.268

What is the E_form (uncorrected) in the second record? -0.77 eV per atom

Copy entry 3 word for word.
DFT (PBE) results for a relaxed CsPaCdTe4 crystal.

SG: P2_1/m (11)
Total moment in μB per cell: 0.27
E_form (uncorrected) in eV per atom: -0.74
V in Å³/atom: 40.4

a b c (Å): 7.289 7.838 9.939
angles (deg): 90.00 95.71 90.00
Fractional positions:
Cs 0.215 0.250 0.039
Cs 0.785 0.750 0.961
Pa 0.180 0.750 0.448
Pa 0.820 0.250 0.552
Cd 0.343 0.250 0.649
Cd 0.657 0.750 0.351
Te 0.083 0.518 0.691
Te 0.083 0.982 0.691
Te 0.332 0.750 0.175
Te 0.458 0.250 0.390
Te 0.542 0.750 0.610
Te 0.668 0.250 0.825
Te 0.917 0.018 0.309
Te 0.917 0.482 0.309

What is the formula in the third record? CsPaCdTe4